1.
Here is an optimized crystal structure of Ca3In5Ni2 from the Alexandria database. Energies are from GGA-PBE.

Structure (POSCAR):
```
Ca3In5Ni2
1.0
-3.846 0.521 1.286
-0.843 -10.494 1.729
3.521 1.361 9.979
In Ca Ni
10 6 4
Cartesian
0.704 -6.651 11.298
-1.007 -6.711 6.206
-0.162 0.941 5.632
-1.933 -9.227 4.455
0.765 0.615 8.538
0.136 -4.712 8.813
-1.872 -1.962 1.695
-2.344 -4.986 1.507
-0.161 -1.901 6.787
-1.303 -3.900 4.180
0.986 -1.423 3.526
0.053 -6.867 2.941
1.339 -4.567 5.854
1.691 -7.710 8.181
2.624 -2.266 8.766
0.000 0.000 0.000
0.090 -3.857 1.831
0.603 -8.743 5.345
2.074 -0.390 6.362
2.588 -5.276 9.876
```



2.
Here is an optimized crystal structure of CaIn3Ni from the Alexandria database. Energies are from GGA-PBE.

Structure (POSCAR):
```
CaIn3Ni
1.0
4.996 0.000 0.000
0.000 4.996 0.000
0.000 0.000 4.996
Ca Ni In
1 1 3
Cartesian
2.498 2.498 2.498
0.000 0.000 0.000
0.000 0.000 2.498
2.498 0.000 0.000
0.000 2.498 0.000
```



3.
Here is an optimized crystal structure of CaIn4Ni from the Alexandria database. Energies are from GGA-PBE.

Structure (POSCAR):
```
CaIn4Ni
1.0
0.756 -5.602 1.980
-3.635 -4.364 -1.901
2.077 -4.229 -3.699
In Ca Ni
4 1 1
Cartesian
0.076 -8.121 -0.372
-2.114 -7.504 -2.307
0.734 -7.437 -3.203
-0.301 -5.328 -1.359
0.000 0.000 0.000
-0.602 -10.646 -2.715
```



4.
Here is an optimized crystal structure of CaInNi5 from the Alexandria database. Energies are from GGA-PBE.

Structure (POSCAR):
```
CaInNi5
1.0
-0.537 -4.220 2.351
7.991 -0.212 1.445
-1.467 5.124 8.864
Ni Ca In
20 4 4
Cartesian
2.659 -3.352 4.640
0.999 0.231 3.156
0.967 0.658 8.939
6.740 -0.707 5.296
5.020 0.034 3.721
-0.752 1.399 7.364
1.509 1.788 11.092
-1.336 1.390 9.728
4.989 0.461 9.504
7.324 -0.698 2.932
4.479 -1.096 1.568
2.928 -1.242 3.464
6.191 -0.716 7.666
3.060 1.934 9.195
3.328 4.044 8.020
2.915 0.852 4.708
3.073 -0.160 7.952
-0.203 1.408 4.994
-0.484 3.508 6.188
6.471 -2.816 6.471
0.980 -0.970 6.019
0.458 3.703 9.265
5.530 -3.011 3.394
5.008 1.663 6.641
0.499 -2.497 3.169
1.827 2.128 6.750
5.489 3.189 9.491
4.161 -1.436 5.910
```



5.
Here is an optimized crystal structure of Ca2In12Ni7 from the Alexandria database. Energies are from GGA-PBE.

Structure (POSCAR):
```
Ca2In12Ni7
1.0
-2.766 0.041 -3.272
-5.684 -7.648 4.710
-2.177 10.216 1.968
In Ni Ca
12 7 2
Cartesian
-4.469 6.263 1.051
-7.861 -0.718 3.831
-1.372 4.944 1.221
-4.271 0.082 0.806
-3.550 3.010 0.234
-4.771 6.154 4.110
-5.562 -4.383 1.842
-1.622 -1.319 1.354
-3.896 1.686 3.314
-6.189 1.398 5.250
-6.168 3.573 2.454
-5.734 -5.159 4.783
-7.371 -3.399 3.384
-4.030 -2.469 0.571
-3.346 4.262 2.882
-1.892 1.371 1.617
-6.293 0.849 2.525
-2.151 7.376 1.910
-5.996 4.038 5.119
-4.515 -1.693 3.796
-1.383 0.020 -1.636
```



6.
Here is an optimized crystal structure of CaIn3Ni8 from the Alexandria database. Energies are from GGA-PBE.

Structure (POSCAR):
```
CaIn3Ni8
1.0
4.747 0.000 1.433
2.157 4.229 1.433
-0.006 -0.004 8.601
In Ni Ca
3 8 1
Cartesian
6.901 4.226 2.880
3.448 2.112 5.738
2.588 1.585 8.587
4.112 3.982 3.538
5.379 1.822 7.921
4.742 2.904 10.032
5.415 1.853 3.538
3.026 1.853 2.817
6.471 3.963 8.647
1.290 0.790 4.307
4.067 3.963 7.921
6.037 3.697 5.740
```



7.
Here is an optimized crystal structure of Ca2InNi from the Alexandria database. Energies are from GGA-PBE.

Structure (POSCAR):
```
Ca2InNi
1.0
-1.409 -8.445 -2.667
1.432 -7.339 -4.951
2.191 -8.577 -1.429
Ca Ni In
2 1 1
Cartesian
0.039 -0.427 -0.159
1.068 -11.754 -4.365
1.660 -18.271 -6.785
0.553 -6.090 -2.262
```



8.
Here is an optimized crystal structure of Ca2InNi from the Alexandria database. Energies are from GGA-PBE.

Structure (POSCAR):
```
Ca2InNi
1.0
6.406 0.112 0.000
5.425 3.407 0.000
2.142 0.637 4.735
Ni Ca In
1 2 1
Cartesian
10.635 3.163 3.471
3.419 1.017 1.218
2.599 0.773 4.512
6.448 1.918 2.636
```



9.
Here is an optimized crystal structure of CaIn4Ni2 from the Alexandria database. Energies are from GGA-PBE.

Structure (POSCAR):
```
CaIn4Ni2
1.0
4.436 0.000 0.000
0.000 7.184 0.000
0.000 0.000 18.098
In Ni Ca
16 8 4
Cartesian
1.109 2.559 0.576
1.109 1.847 12.564
3.327 5.439 14.583
1.109 4.801 12.408
1.109 1.033 9.625
1.109 1.746 3.515
3.327 5.338 5.534
3.327 3.580 10.335
1.109 5.975 3.359
1.109 7.172 16.812
3.327 4.626 17.522
3.327 0.012 1.286
3.327 6.151 8.473
3.327 2.383 5.690
3.327 1.209 14.739
1.109 3.604 7.763
1.109 3.895 5.100
1.109 6.881 14.149
3.327 0.303 3.949
3.327 3.289 12.998
3.327 1.785 17.364
3.327 1.807 8.315
1.109 5.399 0.734
1.109 5.377 9.783
3.327 6.939 11.616
1.109 3.347 15.531
3.327 3.838 2.567
1.109 0.245 6.482
```



10.
Here is an optimized crystal structure of CaInNiP2 from the Alexandria database. Energies are from GGA-PBE.

Structure (POSCAR):
```
CaInNiP2
1.0
5.079 0.000 0.000
0.000 4.710 0.000
0.000 0.000 5.079
In Ca P Ni
1 1 2 1
Cartesian
0.000 0.000 0.000
2.539 2.355 2.539
2.539 0.000 0.000
0.000 0.000 2.539
0.000 2.355 0.000
```



11.
Here is an optimized crystal structure of CaIn2NiPb from the Alexandria database. Energies are from GGA-PBE.

Structure (POSCAR):
```
CaIn2NiPb
1.0
-2.502 1.999 3.819
-4.242 -0.358 -2.592
-0.814 -4.840 2.000
In Ni Pb Ca
2 1 1 1
Cartesian
-2.121 -0.179 -1.296
-1.251 1.000 1.910
0.000 0.000 0.000
-3.779 -1.599 1.614
-0.407 -2.420 1.000
```



12.
Here is an optimized crystal structure of CaIn2NiPb from the Alexandria database. Energies are from GGA-PBE.

Structure (POSCAR):
```
CaIn2NiPb
1.0
4.998 0.000 0.000
0.000 4.998 0.000
0.000 0.000 5.279
Ni In Ca Pb
1 2 1 1
Cartesian
0.000 0.000 0.000
2.499 0.000 0.000
0.000 2.499 0.000
2.499 2.499 2.639
0.000 0.000 2.639
```



no.,E_form (meV per atom),magnetic moment (μB/cell)
1,-367,0.000
2,-193,0.000
3,192,0.000
4,-166,4.310
5,-159,0.000
6,-108,0.001
7,-53,0.000
8,-169,0.000
9,-238,0.000
10,467,0.249
11,-172,0.000
12,-132,0.000